1:
VASP calculation (PBEsol) on crystalline ZrRe2Ir at its relaxed geometry.

Unit cell a=2.7544 b=2.7544 c=9.7243 alpha=81.86 beta=81.86 gamma=60.00
Closest atoms and distances in Å follow each position.
Fractional positions:
Ir  0.5000  0.5000  0.5000  6 Re 2.71, 6 Ir 2.75
Re  0.7571  0.7571  0.7288  3 Ir 2.71, 6 Re 2.75
Re  0.2429  0.2429  0.2712  3 Ir 2.71, 6 Re 2.75
Zr  0.0000  0.0000  0.0000  6 Zr 2.75, 6 Re 3.05

Results
Fermi-level density of states   3.8 states/eV/f.u.
Volume   15.76 Å³/atom
Size of the total moment   0.00 μB/f.u.

=====

2:
VASP calculation (PBEsol) on crystalline ZrRe2Ir at its relaxed geometry.

Unit cell a=4.4754 b=4.4754 c=4.4754 alpha=60.00 beta=60.00 gamma=60.00
Closest atoms and distances in Å follow each position.
Fractional positions:
Zr  0.2500  0.2500  0.2500  4 Re 2.74, 4 Ir 2.74
Ir  0.5000  0.5000  0.5000  4 Zr 2.74, 4 Re 2.74
Re  0.7500  0.7500  0.7500  4 Re 2.74, 4 Ir 2.74
Re  0.0000  0.0000  0.0000  4 Re 2.74, 4 Zr 2.74

Results
Fermi-level density of states   6.3 states/eV/f.u.
Volume   15.85 Å³/atom
Size of the total moment   0.52 μB/f.u.

=====

3:
VASP calculation (PBEsol) on crystalline ZrRe2Ir at its relaxed geometry.

Unit cell a=4.4672 b=4.4672 c=4.4672 alpha=60.00 beta=60.00 gamma=60.00
Closest atoms and distances in Å follow each position.
Fractional positions:
Re  0.2500  0.2500  0.2500  4 Zr 2.74, 4 Ir 2.74
Re  0.7500  0.7500  0.7500  4 Zr 2.74, 4 Ir 2.74
Zr  0.5000  0.5000  0.5000  8 Re 2.74
Ir  0.0000  0.0000  0.0000  8 Re 2.74

Results
Fermi-level density of states   8.3 states/eV/f.u.
Volume   15.76 Å³/atom
Size of the total moment   0.03 μB/f.u.

=====

Name the most stable of them. 2.

=====

1:
VASP calculation (PBEsol) on crystalline Sr2IrRh at its relaxed geometry.

Unit cell a=4.4961 b=4.6821 c=5.6155 alpha=114.64 beta=90.00 gamma=90.00
Closest atoms and distances in Å follow each position.
Fractional positions:
Sr  0.5000  0.3961  0.7922  3 Rh 3.01-3.22
Sr  0.0000  0.1033  0.2066  3 Ir 3.02-3.19
Ir  0.0000  0.7907  0.5814  2 Rh 2.39
Rh  0.5000  0.7115  0.4230  2 Ir 2.39

Results
Fermi-level density of states   2.0 states/eV/f.u.
Volume   26.86 Å³/atom
Size of the total moment   0.00 μB/f.u.

=====

2:
VASP calculation (PBEsol) on crystalline Sr2IrRh at its relaxed geometry.

Unit cell a=3.3046 b=4.0258 c=6.5369 alpha=90.00 beta=90.00 gamma=90.00
Closest atoms and distances in Å follow each position.
Fractional positions:
Sr  0.0000  0.0000  0.7513  4 Ir 3.07, 4 Rh 3.08, 4 Sr 3.25-3.30
Sr  0.0000  0.0000  0.2487  4 Ir 3.07, 4 Rh 3.08, 4 Sr 3.25-3.30
Rh  0.5000  0.5000  0.5000  8 Sr 3.08, 2 Ir 3.27, 2 Rh 3.30
Ir  0.5000  0.5000  0.0000  8 Sr 3.07, 2 Rh 3.27, 2 Ir 3.30

Results
Fermi-level density of states   3.1 states/eV/f.u.
Volume   21.74 Å³/atom
Size of the total moment   0.00 μB/f.u.

=====

3:
VASP calculation (PBEsol) on crystalline Sr2IrRh at its relaxed geometry.

Unit cell a=4.9220 b=4.9220 c=4.9220 alpha=60.00 beta=60.00 gamma=60.00
Closest atoms and distances in Å follow each position.
Fractional positions:
Rh  0.2500  0.2500  0.2500  4 Ir 3.01, 4 Sr 3.01
Sr  0.0000  0.0000  0.0000  4 Rh 3.01, 4 Sr 3.01
Sr  0.7500  0.7500  0.7500  4 Sr 3.01, 4 Ir 3.01
Ir  0.5000  0.5000  0.5000  4 Rh 3.01, 4 Sr 3.01

Results
Fermi-level density of states   5.5 states/eV/f.u.
Volume   21.08 Å³/atom
Size of the total moment   0.94 μB/f.u.

=====

4:
VASP calculation (PBEsol) on crystalline Sr2IrRh at its relaxed geometry.

Unit cell a=4.2698 b=4.2698 c=5.6243 alpha=112.31 beta=112.31 gamma=90.00
Closest atoms and distances in Å follow each position.
Fractional positions:
Rh  0.2500  0.7500  0.5000  8 Sr 3.02-3.19, 4 Ir 3.19
Sr  0.7500  0.2500  0.5000  4 Rh 3.02, 4 Ir 3.19, 4 Sr 3.19
Sr  0.0000  0.0000  0.0000  4 Ir 3.02, 4 Sr 3.19, 4 Rh 3.19
Ir  0.5000  0.5000  0.0000  8 Sr 3.02-3.19, 4 Rh 3.19

Results
Fermi-level density of states   3.7 states/eV/f.u.
Volume   21.63 Å³/atom
Size of the total moment   0.00 μB/f.u.

=====

Name the most stable of them. 1.